Entry from Alexandria via LeMat-Bulk: NdYTmAl after structural relaxation (GGA-PBE).

Cell lengths 3.531, 3.531, 9.061 Å; angles 90.00, 90.00, 90.00 degrees
Fractional positions:
Nd 0.000 0.000 0.000
Y 0.500 0.500 0.703
Tm 0.500 0.500 0.286
Al 0.000 0.000 0.491

## Properties
Energy   -5.065 eV/atom
Distance to the lowest polymorph of the same formula   0.00 eV/f.u.
D(E_F)   3.27 states/eV per cell